1.
# HfTa3Te

A relaxed HfTa3Te crystal (PBEsol, Alexandria).

Lattice parameters (Å, degrees): 4.898 4.898 4.898 90.00 90.00 90.00
Space group Pm-3m (No. 221)
Unique sites:
Hf: 0.000 0.000 0.000
Ta: 0.000 0.000 0.500
Te: 0.500 0.500 0.500

The formation energy (no corrections) is 1.809 eV/atom. The calculation puts the total energy at -42.6 eV per formula unit. Its crystal system is cubic.

---

2.
# HfTaTe3

A relaxed HfTaTe3 crystal (PBEsol, Alexandria).

Lattice parameters (Å, degrees): 5.386 5.386 5.386 90.00 90.00 90.00
Space group Pm-3m (No. 221)
Unique sites:
Hf: 0.000 0.000 0.000
Ta: 0.500 0.500 0.500
Te: 0.000 0.000 0.500

The formation energy (no corrections) is 0.894 eV/atom. The calculation puts the total energy at -29.2 eV per formula unit. Its crystal system is cubic.

---

For the records above, the corresponding DOS at the Fermi energy values read 1.161; 0.862 states/eV per atom.